No. 1
Cu3Te: single point on PBEsol structure, meta-GGA SCAN.

Cell and atoms, written as extended XYZ:
```
4
Lattice="2.8678 0.0000 0.0000 0.0000 4.0850 0.0000 -1.3864 0.0000 5.4348" Properties=species:S:1:pos:R:3 pbc="T T T"
Cu 0.0000 0.0000 0.0000
Cu 0.8254 2.0425 1.0226
Cu 0.6559 2.0425 4.4122
Te 0.7407 0.0000 2.7174
```

Results
As for the formation energy from raw total energies: 95 kJ/mol of formula units. For the density of states at the Fermi level, the calculation gives 1.17 states/eV/cell. Its space group is P2/m, No. 10. For the total magnetization, the calculation gives 0.00 μB per cell. For the volume, the calculation gives 63.67 Å³/cell. The value obtained for the theoretical density is 8.30 g/cm³.

No. 2
TlCuTe: single point on PBEsol structure, meta-GGA SCAN.

Cell and atoms, written as extended XYZ:
```
3
Lattice="4.3472 0.0000 0.0000 -2.1736 3.7648 0.0000 0.0000 0.0000 4.8331" Properties=species:S:1:pos:R:3 pbc="T T T"
Tl 0.0000 0.0000 0.0000
Cu 0.0000 2.5099 2.4224
Te 2.1736 1.2549 2.4184
```

Results
As for the formation energy from raw total energies: -42 kJ/mol of formula units. For the density of states at the Fermi level, the calculation gives 0.50 states/eV/cell. Its space group is P3m1, No. 156. For the total magnetization, the calculation gives 0.00 μB per cell. For the volume, the calculation gives 79.10 Å³/cell. The value obtained for the theoretical density is 8.30 g/cm³.

No. 3
TlCu3Te2: single point on PBEsol structure, meta-GGA SCAN.

Cell and atoms, written as extended XYZ:
```
48
Lattice="8.3156 0.0000 0.0000 0.0000 8.3172 0.0000 -8.2465 0.0000 14.2242" Properties=species:S:1:pos:R:3 pbc="T T T"
Tl 0.0000 2.0449 0.0000
Tl -4.1233 6.2723 7.1121
Tl 0.0643 2.0812 3.5335
Tl -4.0589 6.2360 10.6456
Tl 0.0080 2.0836 7.1040
Tl -4.1152 6.2336 14.2161
Tl 0.0345 2.0911 10.6221
Tl 4.1578 6.2261 3.5100
Cu -3.1723 1.1441 5.9660
Cu -7.2956 7.1731 13.0781
Cu -5.1820 1.1474 10.0192
Cu -1.0588 7.1698 2.9071
Cu -3.1069 3.1497 7.5491
Cu 1.0164 5.1675 0.4370
Cu -4.8080 3.2953 11.2065
Cu -0.6848 5.0219 4.0944
Cu -5.3660 3.1100 13.7039
Cu -1.2427 5.2072 6.5918
Cu -3.0094 1.3385 11.2223
Cu 1.1139 6.9787 4.1102
Cu 3.1187 1.2129 1.1675
Cu -1.0046 7.1043 8.2796
Cu -3.1412 0.9008 13.7243
Cu 0.9821 7.4164 6.6122
Cu 4.9528 3.1072 0.9888
Cu 0.8296 5.2100 8.1009
Cu 4.0972 2.1282 3.4611
Cu -0.0260 6.1890 10.5732
Cu 3.2215 3.0146 5.9509
Cu -0.9018 5.3026 13.0630
Cu 3.1292 1.0329 7.5518
Cu 7.2524 7.2843 0.4397
Te -2.6895 3.5722 5.0200
Te -6.8127 4.7450 12.1321
Te -5.5072 0.6995 12.5464
Te -1.3839 7.6177 5.4343
Te -2.7254 0.7227 8.7323
Te 1.3978 7.5945 1.6202
Te 2.5618 3.6825 1.9958
Te -1.5615 4.6347 9.1079
Te -2.7015 3.4775 12.6461
Te 1.4218 4.8397 5.5340
Te 2.6916 0.5872 5.0561
Te -1.4316 7.7300 12.1682
Te 5.6480 0.6635 1.9725
Te 1.5248 7.6537 9.0846
Te 2.8098 3.4971 8.7352
Te 6.9331 4.8201 1.6231
```

Results
As for the formation energy from raw total energies: -49 kJ/mol of formula units. For the density of states at the Fermi level, the calculation gives 0.59 states/eV/cell. Its space group is Pc, No. 7. For the total magnetization, the calculation gives 0.00 μB per cell. For the volume, the calculation gives 983.78 Å³/cell. The value obtained for the theoretical density is 8.78 g/cm³.

no.,calculated total energy (eV/atom)
1,-20.467
2,-41.748
3,-32.160